Here is crystalline GaTeAsN2 at its relaxed geometry from Alexandria. Energies are from GGA-PBEsol.

The structure in POSCAR format:
```
GaTeAsN2
1.0
3.773 0.000 0.000
0.000 3.773 0.000
0.000 0.000 6.246
As N Ga Te
1 2 1 1
Cartesian
0.000 0.000 0.000
0.000 1.887 0.000
1.887 0.000 0.000
1.887 1.887 3.123
0.000 0.000 3.123
```

## Properties
Formation energy (no corrections) = 1.11 eV/atom